No. 1
CePm6Pr5 (PBE-GGA, optimized geometry); magnetic moment = 1.12 μB/cell; ΔH_f (0 K) = 0.036 eV per atom; VASP energy = -57.90 eV per cell; space-group type = Immm, No. 71
1.0
4.995 -0.005 -1.401
-3.524 8.552 -2.979
0.027 0.238 9.715
Pm Pr Ce
6 5 1
Cartesian
-1.366 6.631 4.725
1.714 5.235 6.110
0.541 7.982 1.916
-0.215 3.550 -0.775
0.958 0.803 3.418
2.865 2.154 0.609
1.942 1.601 6.930
0.750 4.393 2.667
-1.157 3.011 5.481
2.656 5.775 -0.147
-0.443 7.185 -1.595
0.000 0.000 0.000



No. 2
YMnIN2 (PBE-GGA, optimized geometry); magnetic moment = 0.78 μB/cell; VASP energy = -31.36 eV per cell; uncorrected formation energy = 494 meV/atom; space-group type = P4/mmm, No. 123
1.0
3.993 0.000 0.000
0.000 3.993 0.000
0.000 0.000 5.028
Mn I N Y
1 1 2 1
Cartesian
0.000 0.000 0.000
0.000 0.000 2.514
0.000 1.996 0.000
1.996 0.000 0.000
1.996 1.996 2.514



No. 3
AlAsSe2 (PBE-GGA, optimized geometry); magnetic moment = 0.00 μB/cell; VASP energy = -15.97 eV per cell; uncorrected formation energy = -153 meV/atom; space-group type = Immm, No. 71
1.0
7.079 0.002 0.003
4.734 5.263 -0.003
-5.690 -3.119 2.830
As Se Al
1 2 1
Cartesian
3.648 -0.242 1.416
1.359 0.606 0.000
4.547 2.026 0.000
2.476 2.388 1.414



No. 4
LaPm2Pd9 (PBE-GGA, optimized geometry); magnetic moment = 0.00 μB/cell; ΔH_f (0 K) = -0.789 eV per atom; VASP energy = -70.63 eV per cell; space-group type = P4/mmm, No. 123
1.0
4.204 0.000 0.000
0.000 4.204 0.000
0.000 0.000 12.591
La Pd Pm
1 9 2
Cartesian
0.000 0.000 0.000
0.000 2.102 2.126
2.102 2.102 8.387
2.102 2.102 0.000
0.000 2.102 6.296
2.102 2.102 4.204
2.102 0.000 2.126
2.102 0.000 6.296
2.102 0.000 10.465
0.000 2.102 10.465
0.000 0.000 4.223
0.000 0.000 8.368



No. 5
La4PmTe5 (PBE-GGA, optimized geometry); magnetic moment = 0.00 μB/cell; VASP energy = -55.75 eV per cell; uncorrected formation energy = -1558 meV/atom; space-group type = I4/m, No. 87
1.0
5.816 0.000 2.805
2.908 7.203 1.403
-0.221 0.000 7.890
Te La Pm
5 4 1
Cartesian
6.214 2.850 9.428
3.931 5.792 6.729
2.915 0.000 1.406
2.301 4.353 2.676
4.584 1.411 5.375
6.852 5.743 8.104
3.327 2.881 7.981
5.188 4.322 4.123
1.662 1.460 4.000
0.006 0.000 0.003



No. 6
Sm3Al3Si2 (PBE-GGA, optimized geometry); magnetic moment = 0.00 μB/cell; VASP energy = -81.79 eV per cell; uncorrected formation energy = -583 meV/atom; space-group type = Cmcm, No. 63
1.0
-2.076 0.935 -3.421
4.164 -4.120 -1.185
-10.387 -11.415 3.183
Sm Si Al
6 4 6
Cartesian
0.238 -3.195 -3.486
-5.109 -11.694 -0.096
-5.259 -7.803 1.058
-8.537 -11.405 2.063
-3.040 -6.797 -2.482
-3.190 -2.906 -1.327
-5.324 -9.155 -1.740
-7.999 -12.095 -0.920
-0.299 -2.505 -0.503
-2.974 -5.445 0.317
-5.168 -5.122 -0.732
-7.124 -13.867 0.533
-7.566 -9.569 -0.492
-1.175 -0.733 -1.956
-0.733 -5.031 -0.931
-3.130 -9.478 -0.691



No. 7
Pm4CoGeI2 (PBE-GGA, optimized geometry); magnetic moment = 0.00 μB/cell; VASP energy = -39.88 eV per cell; uncorrected formation energy = -756 meV/atom; space-group type = P2/m, No. 10
1.0
-3.957 -0.743 -0.951
1.121 -7.342 1.070
-2.305 3.054 7.210
Pm Ge Co I
4 1 1 2
Cartesian
-2.165 -1.367 1.080
0.412 -4.958 2.157
-2.976 -3.664 6.249
-1.597 0.670 6.123
-1.418 -4.042 0.060
0.000 0.000 0.000
-3.131 1.155 3.130
-0.592 -2.144 4.140



No. 8
Ho4AsP2S (PBE-GGA, optimized geometry); magnetic moment = 0.00 μB/cell; VASP energy = -51.82 eV per cell; uncorrected formation energy = -1739 meV/atom; space-group type = P2/m, No. 10
1.0
3.993 0.000 0.000
0.000 6.921 -0.145
0.000 2.426 6.466
Ho As P S
4 1 2 1
Cartesian
3.993 2.292 1.599
1.997 3.500 4.835
1.997 5.847 1.486
0.000 7.055 4.722
1.997 3.461 -0.073
1.997 1.213 3.233
0.000 2.426 6.466
0.000 4.674 3.160



Number 1: D(E_F) 23.01 states/eV per cell. Number 2: D(E_F) 3.95 states/eV per cell. Number 3: D(E_F) 1.04 states/eV per cell. Number 4: D(E_F) 7.83 states/eV per cell. Number 5: D(E_F) 6.76 states/eV per cell. Number 6: D(E_F) 6.44 states/eV per cell. Number 7: D(E_F) 5.97 states/eV per cell. Number 8: D(E_F) 1.21 states/eV per cell.